*P*
{"formula": "YTeAuO", "functional": "GGA-PBE", "state": "optimized geometry", "magmom_total_mub_per_cell": 0.0, "spacegroup": "Aem2", "lattice_angstrom": [[1.8521, 1.1714, -3.4040], [-0.1020, 3.8405, 1.2767], [9.2083, -1.2751, 4.5714]], "species": ["Te", "Te", "O", "O", "Au", "Au", "Y", "Y"], "frac_coords": [[0.1232, 0.3768, 0.7217], [0.6232, 0.8768, 0.2783], [0.1220, 0.8780, 0.0000], [0.6220, 0.3780, 0.0000], [0.3731, 0.6269, 0.5000], [0.8731, 0.1269, 0.5000], [0.1221, 0.3779, 0.1027], [0.6221, 0.8779, 0.8973]]}


*Q*
{"formula": "YTeAuO", "functional": "GGA-PBE", "state": "optimized geometry", "magmom_total_mub_per_cell": 0.0, "spacegroup": "P4mm", "lattice_angstrom": [[5.6989, 0.0000, 0.0000], [0.0000, 5.6989, 0.0000], [0.0000, 0.0000, 10.0732]], "species": ["Y", "Y", "Y", "Y", "Te", "Te", "Te", "Te", "O", "O", "O", "O", "Au", "Au", "Au", "Au"], "frac_coords": [[0.5000, 0.5000, 0.1072], [0.0000, 0.0000, 0.1067], [0.0000, 0.5000, 0.8935], [0.5000, 0.0000, 0.8935], [0.0000, 0.5000, 0.2860], [0.5000, 0.5000, 0.7134], [0.0000, 0.0000, 0.7141], [0.5000, 0.0000, 0.2860], [0.7500, 0.2500, 0.0002], [0.7500, 0.7500, 0.0002], [0.2500, 0.2500, 0.0002], [0.2500, 0.7500, 0.0002], [0.2499, 0.7501, 0.4997], [0.7501, 0.2499, 0.4997], [0.2499, 0.2499, 0.4997], [0.7501, 0.7501, 0.4997]]}


Which of them is the most stable? Correct choice: *P*.


*P*
{"formula": "YNbFeGe", "functional": "GGA-PBE", "state": "optimized geometry", "magmom_total_mub_per_cell": 1.3, "spacegroup": "F-43m", "lattice_angstrom": [[-3.5851, -0.1910, 2.9128], [-4.1954, 1.3391, -1.4069], [-3.3341, -3.1380, -0.6405]], "species": ["Nb", "Ge", "Y", "Fe"], "frac_coords": [[0.5000, 0.5000, 0.5000], [0.0000, 0.0000, 0.0000], [0.2500, 0.2500, 0.2500], [0.7500, 0.7500, 0.7500]]}


*Q*
{"formula": "YNbFeGe", "functional": "GGA-PBE", "state": "optimized geometry", "magmom_total_mub_per_cell": 2.0, "spacegroup": "F-43m", "lattice_angstrom": [[-3.4290, -2.4858, -1.7682], [-4.1068, -0.0291, 2.0487], [-3.5686, 2.0966, -1.9832]], "species": ["Fe", "Ge", "Nb", "Y"], "frac_coords": [[0.7500, 0.7500, 0.7500], [0.0000, 0.0000, 0.0000], [0.2500, 0.2500, 0.2500], [0.5000, 0.5000, 0.5000]]}


Which of them is the most stable? Correct choice: *Q*.


*P*
{"formula": "SmSiHO4", "functional": "GGA-PBE", "state": "optimized geometry", "magmom_total_mub_per_cell": 0.0, "spacegroup": "P2_1/m", "lattice_angstrom": [[-4.8236, 0.8290, 0.7138], [-0.9672, -6.5530, 1.0745], [1.2896, 0.5167, 4.3120]], "species": ["Sm", "Sm", "O", "O", "O", "O", "O", "O", "O", "O", "Si", "Si", "H", "H"], "frac_coords": [[0.2049, 0.2500, 0.0701], [0.7951, 0.7500, 0.9299], [0.6143, 0.7500, 0.3721], [0.1143, 0.5590, 0.2930], [0.3018, 0.7500, 0.7960], [0.6982, 0.2500, 0.2040], [0.1143, 0.9410, 0.2930], [0.3857, 0.2500, 0.6279], [0.8857, 0.4410, 0.7070], [0.8857, 0.0590, 0.7070], [0.3026, 0.7500, 0.4376], [0.6974, 0.2500, 0.5624], [0.0000, 0.0000, 0.5000], [0.0000, 0.5000, 0.5000]]}


*Q*
{"formula": "SmSiHO4", "functional": "GGA-PBE", "state": "optimized geometry", "magmom_total_mub_per_cell": 0.0, "spacegroup": "Pnma", "lattice_angstrom": [[-0.0372, -4.1907, 2.5085], [7.3128, 2.8748, 4.9111], [-4.0168, 2.6777, 4.4138]], "species": ["O", "O", "O", "O", "O", "O", "O", "O", "O", "O", "O", "O", "O", "O", "O", "O", "Sm", "Sm", "Sm", "Sm", "Si", "Si", "Si", "Si", "H", "H", "H", "H"], "frac_coords": [[0.3771, 0.6092, 0.0524], [0.8771, 0.8908, 0.9476], [0.8771, 0.8908, 0.5524], [0.1101, 0.4311, 0.7500], [0.6101, 0.0689, 0.2500], [0.1229, 0.1092, 0.4476], [0.8899, 0.5689, 0.2500], [0.2435, 0.8647, 0.2500], [0.3771, 0.6092, 0.4476], [0.7435, 0.6353, 0.7500], [0.1229, 0.1092, 0.0524], [0.2565, 0.3647, 0.2500], [0.6229, 0.3908, 0.9476], [0.6229, 0.3908, 0.5524], [0.3899, 0.9311, 0.7500], [0.7565, 0.1353, 0.7500], [0.1970, 0.7095, 0.7500], [0.6970, 0.7905, 0.2500], [0.8030, 0.2905, 0.2500], [0.3030, 0.2095, 0.7500], [0.7868, 0.4615, 0.7500], [0.7132, 0.9615, 0.7500], [0.2132, 0.5385, 0.2500], [0.2868, 0.0385, 0.2500], [0.5000, 0.5000, 0.5000], [0.0000, 0.0000, 0.5000], [0.5000, 0.5000, 0.0000], [0.0000, 0.0000, 0.0000]]}


Which of them is the most stable? Correct choice: *P*.